No. 1
ScAgPb2, single point on PBEsol structure, DFT SCAN; Fermi-level density of states = 1.9 states/eV/cell; space group = Imm2
1.0
-1.751 2.461 5.358
1.751 -2.461 5.358
1.751 2.461 -5.358
Sc Ag Pb
1 1 2
direct
0.000 0.000 0.000
0.228 0.728 0.500
0.474 0.474 0.000
0.744 0.244 0.500

=====

No. 2
ScAgPb2, single point on PBEsol structure, DFT SCAN; Fermi-level density of states = 1.9 states/eV/cell; space group = Cm
1.0
5.612 -1.721 0.000
5.612 1.721 0.000
-1.689 0.000 4.767
Sc Ag Pb
1 1 2
direct
0.000 0.000 0.000
0.270 0.270 0.642
0.515 0.515 0.505
0.750 0.750 0.125

=====

Calculated formation energy (computed, meV per atom): -195, -226
VASP energy (computed, eV/atom): -49.49, -49.52